(1)
PBE ErPa2Tc, optimized geometry; calculated formation energy = 5.9 kJ/mol of atoms; DOS(E_F) = 2.752 states/eV/atom; polymorph energy (0 for the lowest one) = 0 meV per atom
1.0
3.3026 0.0000 0.0000
0.0000 3.3026 0.0000
0.0000 0.0000 8.8677
Pa Tc Er
2 1 1
Direct
0.0000 0.0000 0.7978
0.0000 0.0000 0.2022
0.5000 0.5000 0.0000
0.5000 0.5000 0.5000

(2)
PBE ErPaTc2, optimized geometry; calculated formation energy = -18.8 kJ/mol of atoms; DOS(E_F) = 0.634 states/eV/atom; polymorph energy (0 for the lowest one) = 46 meV per atom
1.0
4.8252 0.0000 0.0000
2.4126 4.1787 0.0000
2.4126 1.3929 3.9398
Pa Tc Er
1 2 1
Direct
0.0000 0.0000 0.0000
0.2500 0.2500 0.2500
0.7500 0.7500 0.7500
0.5000 0.5000 0.5000

(3)
PBE ErPa2Tc4, optimized geometry; calculated formation energy = 15.6 kJ/mol of atoms; DOS(E_F) = 1.197 states/eV/atom
1.0
4.2837 0.0000 1.3383
1.9328 3.8228 1.3383
-0.3211 -0.1974 8.5523
Er Pa Tc
1 2 4
Direct
0.0000 0.0000 0.0000
0.7604 0.7604 0.7189
0.2396 0.2396 0.2811
0.8741 0.8741 0.3776
0.1259 0.1259 0.6224
0.6114 0.6114 0.1659
0.3886 0.3886 0.8341

(4)
PBE ErPaTc4, optimized geometry; calculated formation energy = -11.5 kJ/mol of atoms; DOS(E_F) = 2.158 states/eV/atom
1.0
-1.0972 -4.2433 3.1341
0.7114 -4.9972 -1.8851
4.0116 -3.0519 1.9040
Pa Tc Er
1 4 1
Direct
0.0000 0.0000 0.0000
0.6247 0.6247 0.1259
0.6247 0.1259 0.6247
0.6247 0.6247 0.6247
0.1259 0.6247 0.6247
0.2500 0.2500 0.2500

(5)
PBE Er2PaTc, optimized geometry; calculated formation energy = -18.6 kJ/mol of atoms; DOS(E_F) = 1.203 states/eV/atom; polymorph energy (0 for the lowest one) = 0 meV per atom
1.0
6.2265 0.0000 0.0000
0.0000 7.0665 0.0000
0.0000 0.0000 9.5527
Er Pa Tc
8 4 4
Direct
0.1697 0.6757 0.0631
0.3303 0.1757 0.4369
0.8303 0.3243 0.5631
0.6697 0.8243 0.9369
0.8303 0.3243 0.9369
0.6697 0.8243 0.5631
0.1697 0.6757 0.4369
0.3303 0.1757 0.0631
0.6573 0.5498 0.2500
0.8427 0.0498 0.2500
0.3427 0.4502 0.7500
0.1573 0.9502 0.7500
0.0044 0.3624 0.2500
0.4956 0.8624 0.2500
0.9956 0.6376 0.7500
0.5044 0.1376 0.7500

(6)
PBE ErPa3Tc4, optimized geometry; calculated formation energy = -20.5 kJ/mol of atoms; DOS(E_F) = 0.876 states/eV/atom
1.0
4.7586 0.0000 1.4047
2.1720 4.2340 1.4047
0.1758 0.1074 8.1671
Pa Tc Er
3 4 1
Direct
0.2527 0.2527 0.2420
0.7473 0.7473 0.7580
0.5000 0.5000 0.5000
0.8682 0.8682 0.3954
0.3844 0.3844 0.8467
0.1318 0.1318 0.6046
0.6156 0.6156 0.1533
0.0000 0.0000 0.0000